The following is a DFT calculation (GGA-PBEsol) of YSbP3 after structural relaxation.

Values from the calculation:
Electronic total energy: -5.001 eV/atom
Crystal system: cubic
SG: No. 221
Volume: 133.76 Å³ per cell
Total moment: 0.00 μB/atom
Formation energy (no corrections): 0.750 eV/atom

Cell and atoms, written as POSCAR:
```
YSbP3
1.0
5.114 0.000 0.000
0.000 5.114 0.000
0.000 0.000 5.114
Y Sb P
1 1 3
Cartesian
0.000 0.000 0.000 Y
2.557 2.557 2.557 Sb
0.000 2.557 0.000 P
0.000 0.000 2.557 P
2.557 0.000 0.000 P
```